(1)
ErTh3Pd12 (GGA-PBE, relaxed); E_form = -0.953 eV/atom; magnetization = 0.00 Bohr magnetons per cell; E_tot = -6.5242 eV/atom
1.0
4.189 0.000 0.000
0.000 4.189 0.000
0.000 0.000 16.777
Er Th Pd
1 3 12
direct
0.000 0.000 0.000
0.000 0.000 0.244
0.000 0.000 0.500
0.000 0.000 0.756
0.000 0.500 0.122
0.000 0.500 0.374
0.000 0.500 0.626
0.000 0.500 0.878
0.500 0.000 0.122
0.500 0.000 0.374
0.500 0.000 0.626
0.500 0.000 0.878
0.500 0.500 0.000
0.500 0.500 0.249
0.500 0.500 0.500
0.500 0.500 0.751

(2)
ZrIr2C (GGA-PBE, relaxed); E_form = 0.927 eV/atom; E above lowest polymorph = 1.060 eV per atom; magnetization = 0.36 Bohr magnetons per cell; E_tot = -7.9461 eV/atom
1.0
0.000 3.116 3.116
3.116 0.000 3.116
3.116 3.116 0.000
Zr Ir C
1 2 1
direct
0.000 0.000 0.000
0.250 0.250 0.250
0.750 0.750 0.750
0.500 0.500 0.500

(3)
NaHgAs (GGA-PBE, relaxed); E_form = -0.235 eV/atom; magnetization = 0.00 Bohr magnetons per cell; E_tot = -2.3249 eV/atom
1.0
3.759 0.000 0.000
0.000 4.769 0.000
-0.056 -2.345 8.417
Na Hg As
2 2 2
direct
0.247 0.411 0.317
0.753 0.589 0.683
0.251 0.774 0.048
0.749 0.226 0.952
0.252 0.047 0.601
0.748 0.953 0.399

(4)
NdPu3Ir2 (GGA-PBE, relaxed); E_form = -0.361 eV/atom; E above lowest polymorph = 0.000 eV per atom; magnetization = 11.01 Bohr magnetons per cell; E_tot = -11.2755 eV/atom
1.0
4.335 0.000 0.000
0.000 8.900 0.000
0.000 0.000 7.497
Nd Pu Ir
2 6 4
direct
0.000 0.078 0.000
0.000 0.922 0.500
0.000 0.331 0.629
0.000 0.669 0.129
0.500 0.177 0.336
0.500 0.426 0.966
0.500 0.574 0.466
0.500 0.823 0.836
0.000 0.359 0.235
0.000 0.641 0.735
0.500 0.142 0.721
0.500 0.858 0.221

(5)
Y4Al2Ag (GGA-PBE, relaxed); E_form = -0.241 eV/atom; magnetization = 0.00 Bohr magnetons per cell; E_tot = -5.4110 eV/atom
1.0
2.563 1.480 8.274
-2.563 1.480 8.274
0.000 -2.959 8.274
Y Al Ag
4 2 1
direct
0.120 0.120 0.120
0.372 0.372 0.372
0.628 0.628 0.628
0.880 0.880 0.880
0.249 0.249 0.249
0.751 0.751 0.751
0.500 0.500 0.500

(6)
CdAgGe2O6 (GGA-PBE, relaxed); formation energy without anion corrections = -1170 meV per atom; magnetization = 1.90 Bohr magnetons per cell; E_tot = -5.4451 eV/atom
1.0
5.202 -5.099 0.000
5.202 5.099 0.000
-1.338 0.000 5.207
Cd Ag Ge O
2 2 4 12
direct
0.213 0.787 0.750
0.787 0.213 0.250
0.403 0.597 0.250
0.597 0.403 0.750
0.118 0.294 0.789
0.294 0.118 0.289
0.706 0.882 0.711
0.882 0.706 0.211
0.099 0.205 0.079
0.100 0.648 0.362
0.205 0.099 0.579
0.284 0.480 0.861
0.352 0.900 0.138
0.480 0.284 0.361
0.520 0.716 0.639
0.648 0.100 0.862
0.716 0.520 0.139
0.795 0.901 0.421
0.900 0.352 0.638
0.901 0.795 0.921

(7)
CdGaSe2N (GGA-PBE, relaxed); E above lowest polymorph = 0.000 eV per atom; formation energy without anion corrections = 499 meV per atom; magnetization = 1.86 Bohr magnetons per cell; E_tot = -3.3481 eV/atom
1.0
5.304 0.000 0.000
0.000 5.304 0.000
0.000 0.000 3.661
Cd Ga Se N
1 1 2 1
direct
0.000 0.000 0.000
0.500 0.500 0.500
0.000 0.500 0.500
0.500 0.000 0.500
0.500 0.500 0.000

(8)
LiHfAs3 (GGA-PBE, relaxed); E_form = -0.054 eV/atom; E above lowest polymorph = 0.000 eV per atom; magnetization = 0.00 Bohr magnetons per cell; E_tot = -5.2170 eV/atom
1.0
5.159 0.000 0.000
0.000 5.159 0.000
0.000 0.000 5.159
Li Hf As
1 1 3
direct
0.000 0.000 0.000
0.500 0.500 0.500
0.000 0.500 0.500
0.500 0.000 0.500
0.500 0.500 0.000